The following is a DFT calculation (PBE-GGA) of crystalline NaPmSnHg at its relaxed geometry.

Calculated values
V ... 26.86 A^3/atom
DFT formation energy ... -455 meV per atom
Calculated density ... 7.53 g/cm3
Calculated total energy ... -48.78 eV for the cell shown
Density of states at the Fermi level ... 0.417 states/eV per atom

Lattice parameters (Å, degrees): 7.5469 7.5469 7.5469 90.00 90.00 90.00
Space group F-43m (No. 216)
Inequivalent atoms, fractional coordinates:
Na: 0.0000 0.0000 0.0000 (multiplicity 4)
Pm: 0.0000 0.0000 0.5000 (multiplicity 4)
Sn: 0.2500 0.2500 0.7500 (multiplicity 4)
Hg: 0.2500 0.2500 0.2500 (multiplicity 4)